First-principles (PBE+U) data for LiMnBO3 after structural relaxation, as listed in Alexandria via LeMat-Bulk.

Cell: 6.3857 8.2688 8.8639 Å, 117.80 68.89 90.00°
Last column: magnetic moment on the atom in μB.
Positions (direct):
Li (0.6008, 0.0158, 0.2984)  0.00
O (0.4608, 0.1396, 0.5783)  0.04
Mn (0.6858, 0.9895, 0.6283)  4.63
O (0.6240, 0.4730, 0.2519)  0.04
O (0.1394, 0.7481, 0.2211)  0.04
Li (0.2579, 0.2826, 0.9842)  0.00
O (0.9032, 0.0786, 0.1936)  0.03
O (0.9865, 0.7789, 0.5270)  0.04
O (0.1240, 0.4730, 0.2519)  0.04
O (0.4865, 0.7789, 0.5270)  0.04
B (0.5833, 0.6667, 0.3334)  0.02
Li (0.1008, 0.0158, 0.2984)  0.00
Li (0.8914, 0.7013, 0.7172)  0.00
B (0.4167, 0.3333, 0.6667)  0.02
O (0.8198, 0.4387, 0.8604)  0.04
O (0.0393, 0.1151, 0.9215)  0.03
Mn (0.4947, 0.6389, 0.0106)  4.63
B (0.5000, 0.0000, 0.0000)  0.01
O (0.9694, 0.4216, 0.5612)  0.04
Mn (0.8195, 0.3717, 0.3611)  4.63
O (0.4694, 0.4216, 0.5612)  0.04
O (0.5575, 0.8064, 0.8849)  0.03
O (0.0575, 0.8064, 0.8849)  0.03
O (0.4032, 0.0786, 0.1936)  0.03
O (0.6394, 0.7481, 0.2211)  0.04
Mn (0.9947, 0.6389, 0.0106)  4.63
B (0.9167, 0.3333, 0.6667)  0.02
B (0.0000, 0.0000, 0.0000)  0.01
B (0.0833, 0.6667, 0.3334)  0.02
O (0.9608, 0.1396, 0.5783)  0.04
Li (0.3914, 0.7013, 0.7172)  0.00
Li (0.7579, 0.2826, 0.9842)  0.00
Mn (0.1858, 0.9895, 0.6283)  4.63
Mn (0.3195, 0.3717, 0.3611)  4.63
O (0.5393, 0.1151, 0.9215)  0.03
O (0.3198, 0.4387, 0.8604)  0.04

## Properties
For the density of states at the Fermi level, the calculation gives 0.00 states/eV/atom. The calculation puts the excess energy over the best structure of this formula in the dataset at 0.00 eV/f.u. Its space group is P-6 (174). For the magnetization, the calculation gives 30.00 μB per cell.